## ZrSc2Ru3 (GGA-PBE)

Data for a relaxed ZrSc2Ru3 crystal.

Lattice parameters (Å, degrees): 4.571 4.571 11.198 90.00 90.00 120.00
Sites, in units of the cell vectors:
1 Zr 0.333 0.667 0.169
2 Zr 0.667 0.333 0.831
3 Sc 0.000 0.000 0.000
4 Sc 0.000 0.000 0.500
5 Sc 0.333 0.667 0.662
6 Sc 0.667 0.333 0.338
7 Ru 0.000 0.000 0.249
8 Ru 0.000 0.000 0.751
9 Ru 0.333 0.667 0.415
10 Ru 0.333 0.667 0.917
11 Ru 0.667 0.333 0.083
12 Ru 0.667 0.333 0.585

Summary:
As for the distance to the lowest polymorph of the same formula: 0.0 meV/atom. The calculation puts the total DFT energy (no corrections) at -105.46 eV for the cell shown. The value obtained for the formation energy is -0.615 eV/atom.

## Zr7Sc2Ru2 (GGA-PBE)

Data for a relaxed Zr7Sc2Ru2 crystal.

Lattice parameters (Å, degrees): 5.231 5.231 9.921 97.57 97.57 116.03
Sites, in units of the cell vectors:
1 Zr 0.000 0.000 0.000
2 Zr 0.134 0.134 0.299
3 Zr 0.264 0.597 0.836
4 Zr 0.403 0.736 0.164
5 Zr 0.597 0.264 0.836
6 Zr 0.736 0.403 0.164
7 Zr 0.866 0.866 0.701
8 Sc 0.270 0.730 0.500
9 Sc 0.730 0.270 0.500
10 Ru 0.268 0.268 0.586
11 Ru 0.732 0.732 0.414

Summary:
The calculation puts the total DFT energy (no corrections) at -92.50 eV for the cell shown. The value obtained for the formation energy is -0.132 eV/atom.

## Zr2ScRu (GGA-PBE)

Data for a relaxed Zr2ScRu crystal.

Lattice parameters (Å, degrees): 5.538 9.563 3.133 90.00 108.95 90.00
Sites, in units of the cell vectors:
1 Zr 0.250 0.250 0.000
2 Zr 0.250 0.750 0.000
3 Zr 0.750 0.250 0.000
4 Zr 0.750 0.750 0.000
5 Sc 0.000 0.000 0.500
6 Sc 0.500 0.500 0.500
7 Ru 0.000 0.500 0.500
8 Ru 0.500 0.000 0.500

Summary:
As for the distance to the lowest polymorph of the same formula: 282.7 meV/atom. The calculation puts the total DFT energy (no corrections) at -65.83 eV for the cell shown. The value obtained for the formation energy is -0.053 eV/atom.

## ZrSc2Ru2 (GGA-PBE)

Data for a relaxed ZrSc2Ru2 crystal.

Lattice parameters (Å, degrees): 3.214 19.337 3.188 90.00 90.00 90.00
Sites, in units of the cell vectors:
1 Zr 0.000 0.000 0.000
2 Zr 0.500 0.500 0.000
3 Sc 0.000 0.168 0.000
4 Sc 0.000 0.832 0.000
5 Sc 0.500 0.332 0.000
6 Sc 0.500 0.668 0.000
7 Ru 0.000 0.413 0.500
8 Ru 0.000 0.587 0.500
9 Ru 0.500 0.087 0.500
10 Ru 0.500 0.913 0.500

Summary:
As for the distance to the lowest polymorph of the same formula: 0.0 meV/atom. The calculation puts the total DFT energy (no corrections) at -84.39 eV for the cell shown. The value obtained for the formation energy is -0.487 eV/atom.

## Zr2ScRu3 (GGA-PBE)

Data for a relaxed Zr2ScRu3 crystal.

Lattice parameters (Å, degrees): 4.602 4.602 11.265 90.00 90.00 120.00
Sites, in units of the cell vectors:
1 Zr 0.000 0.000 0.000
2 Zr 0.000 0.000 0.500
3 Zr 0.333 0.667 0.171
4 Zr 0.667 0.333 0.829
5 Sc 0.333 0.667 0.665
6 Sc 0.667 0.333 0.335
7 Ru 0.000 0.000 0.249
8 Ru 0.000 0.000 0.751
9 Ru 0.333 0.667 0.417
10 Ru 0.333 0.667 0.918
11 Ru 0.667 0.333 0.082
12 Ru 0.667 0.333 0.583

Summary:
As for the distance to the lowest polymorph of the same formula: 0.0 meV/atom. The calculation puts the total DFT energy (no corrections) at -110.57 eV for the cell shown. The value obtained for the formation energy is -0.672 eV/atom.

## Zr4ScRu (GGA-PBE)

Data for a relaxed Zr4ScRu crystal.

Lattice parameters (Å, degrees): 10.455 4.869 6.056 90.00 124.22 90.00
Sites, in units of the cell vectors:
1 Zr 0.146 0.000 0.303
2 Zr 0.208 0.000 0.852
3 Zr 0.292 0.500 0.148
4 Zr 0.354 0.500 0.697
5 Zr 0.646 0.500 0.303
6 Zr 0.708 0.500 0.852
7 Zr 0.792 0.000 0.148
8 Zr 0.854 0.000 0.697
9 Sc 0.000 0.500 0.500
10 Sc 0.500 0.000 0.500
11 Ru 0.000 0.500 0.000
12 Ru 0.500 0.000 0.000

Summary:
As for the distance to the lowest polymorph of the same formula: 0.0 meV/atom. The calculation puts the total DFT energy (no corrections) at -101.97 eV for the cell shown. The value obtained for the formation energy is -0.198 eV/atom.

## Zr2ScRu (GGA-PBE)

Data for a relaxed Zr2ScRu crystal.

Lattice parameters (Å, degrees): 3.214 4.472 5.813 90.00 105.38 90.00
Sites, in units of the cell vectors:
1 Zr 0.000 0.000 0.000
2 Zr 0.327 0.500 0.725
3 Sc 0.654 0.000 0.457
4 Ru 0.823 0.500 0.220

Summary:
As for the distance to the lowest polymorph of the same formula: 151.9 meV/atom. The calculation puts the total DFT energy (no corrections) at -33.44 eV for the cell shown. The value obtained for the formation energy is -0.183 eV/atom.

## Zr2ScRu (GGA-PBE)

Data for a relaxed Zr2ScRu crystal.

Lattice parameters (Å, degrees): 3.399 4.761 4.851 90.00 90.00 90.00
Sites, in units of the cell vectors:
1 Zr 0.000 0.000 0.000
2 Zr 0.500 0.500 0.000
3 Sc 0.000 0.500 0.500
4 Ru 0.500 0.000 0.500

Summary:
As for the distance to the lowest polymorph of the same formula: 216.0 meV/atom. The calculation puts the total DFT energy (no corrections) at -33.18 eV for the cell shown. The value obtained for the formation energy is -0.119 eV/atom.

## ZrSc2Ru2 (GGA-PBE)

Data for a relaxed ZrSc2Ru2 crystal.

Lattice parameters (Å, degrees): 7.767 7.767 3.024 90.00 90.00 90.00
Sites, in units of the cell vectors:
1 Zr 0.000 0.000 0.000
2 Zr 0.500 0.500 0.000
3 Sc 0.131 0.369 0.000
4 Sc 0.369 0.869 0.000
5 Sc 0.631 0.131 0.000
6 Sc 0.869 0.631 0.000
7 Ru 0.173 0.673 0.500
8 Ru 0.327 0.173 0.500
9 Ru 0.673 0.827 0.500
10 Ru 0.827 0.327 0.500

Summary:
As for the distance to the lowest polymorph of the same formula: 289.9 meV/atom. The calculation puts the total DFT energy (no corrections) at -81.49 eV for the cell shown. The value obtained for the formation energy is -0.197 eV/atom.

## ZrScRu (GGA-PBE)

Data for a relaxed ZrScRu crystal.

Lattice parameters (Å, degrees): 4.518 4.518 3.204 90.00 90.00 120.00
Sites, in units of the cell vectors:
1 Zr 0.000 0.000 0.000
2 Sc 0.333 0.667 0.571
3 Ru 0.667 0.333 0.282

Summary:
As for the distance to the lowest polymorph of the same formula: 115.9 meV/atom. The calculation puts the total DFT energy (no corrections) at -25.12 eV for the cell shown. The value obtained for the formation energy is -0.322 eV/atom.

## RuSe2 (GGA-PBE)

Data for a relaxed RuSe2 crystal.

Lattice parameters (Å, degrees): 3.027 6.588 7.220 77.76 78.71 76.76
Sites, in units of the cell vectors:
1 Ru 0.000 0.000 0.000
2 Ru 0.235 0.559 0.969
3 Se 0.209 0.859 0.702
4 Se 0.307 0.204 0.194
5 Se 0.553 0.716 0.191
6 Se 0.926 0.353 0.780

Summary:
The calculation puts the total DFT energy (no corrections) at -33.64 eV for the cell shown. The calculation puts the formation energy without anion corrections at -0.192 eV/atom.

## RuSe2 (GGA-PBE)

Data for a relaxed RuSe2 crystal.

Lattice parameters (Å, degrees): 5.394 5.394 10.682 90.00 90.00 120.00
Sites, in units of the cell vectors:
1 Ru 0.333 0.667 0.077
2 Ru 0.333 0.667 0.423
3 Ru 0.667 0.333 0.577
4 Ru 0.667 0.333 0.923
5 Se 0.000 0.000 0.000
6 Se 0.000 0.000 0.500
7 Se 0.164 0.327 0.250
8 Se 0.164 0.836 0.250
9 Se 0.327 0.164 0.750
10 Se 0.673 0.836 0.250
11 Se 0.836 0.164 0.750
12 Se 0.836 0.673 0.750

Summary:
The calculation puts the total DFT energy (no corrections) at -56.26 eV for the cell shown. The calculation puts the formation energy without anion corrections at 0.727 eV/atom.